#a
This record from the Alexandria database describes a relaxed LiBSe3 crystal. The functional is PBE.

Results
M_tot, μB per cell: 0.00

Lattice parameters (Å, degrees): 4.8885 6.8773 7.3270 100.35 92.57 90.63
Space group P-1 (No. 2)
One atom of each set of equivalent atoms:
Li1 0.2321 0.3033 0.4317 (multiplicity 2)
B1 0.2257 0.7567 0.1757 (multiplicity 2)
Se1 0.0081 0.0148 0.8365 (multiplicity 2)
Se2 0.2583 0.6895 0.4213 (multiplicity 2)
Se3 0.3789 0.6293 0.9447 (multiplicity 2)


#b
This record from the Alexandria database describes a relaxed LiBSe3 crystal. The functional is PBE.

Results
M_tot, μB per cell: 0.00
DOS at the Fermi energy, states/eV per atom: 1.348

Lattice parameters (Å, degrees): 4.6772 4.6772 4.6772 90.00 90.00 90.00
Space group Pm-3m (No. 221)
One atom of each set of equivalent atoms:
Li1 0.0000 0.0000 0.0000 (multiplicity 1)
B1 0.5000 0.5000 0.5000 (multiplicity 1)
Se1 0.0000 0.0000 0.5000 (multiplicity 3)


#c
This record from the Alexandria database describes a relaxed LiBSe3 crystal. The functional is PBE.

Results
M_tot, μB per cell: 0.00
DOS at the Fermi energy, states/eV per atom: 0.662

Lattice parameters (Å, degrees): 4.5514 4.5514 4.5514 90.00 90.00 90.00
Space group Pm-3m (No. 221)
One atom of each set of equivalent atoms:
Li1 0.0000 0.0000 0.0000 (multiplicity 1)
B1 0.5000 0.5000 0.5000 (multiplicity 1)
Se1 0.0000 0.5000 0.5000 (multiplicity 3)


Stability ranking, top entry: #a; the second entry is 738 meV per atom less favorable.